The following is a GGA-PBE calculation of crystalline Nd2GdTm3OsSe2 at its relaxed geometry, from the Open Quantum Materials Database.

Summary:
Raw total energy = -5.94 eV/atom

Cell: 4.0100 8.1095 8.1095 Å, 120.64 90.00 90.00°
Positions (direct):
Nd 0.0000 0.2053 0.7947
Nd 0.0000 0.7947 0.2053
Gd 0.0000 0.3984 0.3984
Tm 0.5000 0.0299 0.0299
Tm 0.5000 0.5554 0.8016
Tm 0.5000 0.8016 0.5554
Os 0.0000 0.7765 0.7765
Se 0.5000 0.1338 0.4612
Se 0.5000 0.4612 0.1338